[1]
Computed, not measured: an optimized crystal structure of AlCoHg3 at the PBEsol level of DFT.

Structure (POSCAR):
```
AlCoHg3
1.0
4.898 0.000 0.000
0.000 4.898 0.000
0.000 0.000 4.898
Hg Al Co
3 1 1
Direct
0.500 0.000 0.000 Hg
0.000 0.500 0.000 Hg
0.000 0.000 0.500 Hg
0.500 0.500 0.500 Al
0.000 0.000 0.000 Co
```

Output
Crystal system: cubic
Uncorrected energy: -10.88 eV/cell
Formation energy from the elements: 2.65 eV per formula unit
Total moment: 0.127 μB/atom
DOS at the Fermi energy: 3.7 states/eV/f.u.
SG: Pm-3m, No. 221

[2]
Computed, not measured: an optimized crystal structure of AlCo2Hg at the PBEsol level of DFT.

Structure (POSCAR):
```
AlCo2Hg
1.0
3.723 0.000 0.000
0.000 3.723 0.000
-1.861 -1.861 3.855
Hg Co Al
1 2 1
Direct
0.500 0.500 0.000 Hg
0.750 0.250 0.500 Co
0.000 0.000 0.000 Co
0.250 0.750 0.500 Al
```

Output
Crystal system: tetragonal
Uncorrected energy: -19.61 eV/cell
Formation energy from the elements: 0.52 eV per formula unit
Total moment: 0.583 μB/atom
DOS at the Fermi energy: 4.6 states/eV/f.u.
SG: I-4m2, No. 119
Energy above the lowest structure with this stoichiometry: 0.076 eV per atom

[3]
Computed, not measured: an optimized crystal structure of AlCoHg2 at the PBEsol level of DFT.

Structure (POSCAR):
```
AlCoHg2
1.0
4.495 0.000 0.000
2.248 3.893 0.000
2.248 1.298 3.670
Hg Co Al
2 1 1
Direct
0.750 0.750 0.750 Hg
0.250 0.250 0.250 Hg
0.500 0.500 0.500 Co
0.000 0.000 0.000 Al
```

Output
Crystal system: cubic
Uncorrected energy: -11.69 eV/cell
Formation energy from the elements: 1.28 eV per formula unit
Total moment: 0.055 μB/atom
DOS at the Fermi energy: 2.6 states/eV/f.u.
SG: Fm-3m, No. 225
Energy above the lowest structure with this stoichiometry: 0.181 eV per atom

[4]
Computed, not measured: an optimized crystal structure of AlCo2Hg at the PBEsol level of DFT.

Structure (POSCAR):
```
AlCo2Hg
1.0
4.245 0.000 0.000
2.122 3.676 0.000
2.122 1.225 3.466
Co Hg Al
2 1 1
Direct
0.000 0.000 0.000 Co
0.750 0.750 0.750 Co
0.250 0.250 0.250 Hg
0.500 0.500 0.500 Al
```

Output
Crystal system: cubic
Uncorrected energy: -19.31 eV/cell
Formation energy from the elements: 0.83 eV per formula unit
Total moment: 0.633 μB/atom
DOS at the Fermi energy: 5.5 states/eV/f.u.
SG: F-43m, No. 216
Energy above the lowest structure with this stoichiometry: 0.153 eV per atom

[5]
Computed, not measured: an optimized crystal structure of AlCo2Hg at the PBEsol level of DFT.

Structure (POSCAR):
```
AlCo2Hg
1.0
-1.785 -3.500 1.493
0.219 -3.574 -2.201
2.402 -3.166 1.367
Co Al Hg
2 1 1
Direct
0.250 0.250 0.250 Co
0.750 0.750 0.750 Co
0.500 0.500 0.500 Al
0.000 0.000 0.000 Hg
```

Output
Crystal system: cubic
Uncorrected energy: -19.92 eV/cell
Formation energy from the elements: 0.21 eV per formula unit
Total moment: 0.021 μB/atom
DOS at the Fermi energy: 4.8 states/eV/f.u.
SG: Fm-3m, No. 225
Energy above the lowest structure with this stoichiometry: 0.000 eV per atom

[6]
Computed, not measured: an optimized crystal structure of KAl2CoHg at the PBEsol level of DFT.

Structure (POSCAR):
```
KAl2CoHg
1.0
-0.719 -2.764 3.440
-0.308 -4.273 -3.497
5.450 -0.800 0.497
Hg Al K Co
1 2 1 1
Direct
0.500 0.500 0.500 Hg
0.000 0.000 0.500 Al
0.000 0.500 0.000 Al
0.000 0.000 0.000 K
0.500 0.000 0.000 Co
```

Output
Crystal system: tetragonal
Uncorrected energy: -8.43 eV/cell
Formation energy from the elements: 9.19 eV per formula unit
Total moment: 0.238 μB/atom
DOS at the Fermi energy: 4.9 states/eV/f.u.
SG: P4/mmm, No. 123

[7]
Computed, not measured: an optimized crystal structure of AlCoI2N at the PBEsol level of DFT.

Structure (POSCAR):
```
AlCoI2N
1.0
3.502 0.000 0.000
0.000 5.542 0.000
0.000 0.000 5.542
N Co Al I
1 1 1 2
Direct
0.500 0.000 0.000 N
0.500 0.500 0.500 Co
0.000 0.000 0.000 Al
0.000 0.500 0.000 I
0.000 0.000 0.500 I
```

Output
Crystal system: tetragonal
Uncorrected energy: -20.69 eV/cell
Total moment: 0.485 μB/atom
DOS at the Fermi energy: 5.5 states/eV/f.u.
SG: P4/mmm, No. 123
Energy above the lowest structure with this stoichiometry: 0.310 eV per atom
ΔE_f (raw): 0.640 eV/atom

[8]
Computed, not measured: an optimized crystal structure of AlCoI2N at the PBEsol level of DFT.

Structure (POSCAR):
```
AlCoI2N
1.0
3.482 0.000 0.000
0.000 5.375 0.000
0.000 0.000 5.375
Al I Co N
1 2 1 1
Direct
0.500 0.500 0.500 Al
0.000 0.000 0.500 I
0.000 0.500 0.000 I
0.000 0.000 0.000 Co
0.500 0.000 0.000 N
```

Output
Crystal system: tetragonal
Uncorrected energy: -22.24 eV/cell
Total moment: 0.000 μB/atom
DOS at the Fermi energy: 2.6 states/eV/f.u.
SG: P4/mmm, No. 123
Energy above the lowest structure with this stoichiometry: 0.000 eV per atom
ΔE_f (raw): 0.331 eV/atom